# 1
{
  "formula": "Ac2PrSn2",
  "functional": "PBE",
  "state": "optimized geometry",
  "cell": [[4.994, 0.000, 0.000], [2.497, 6.739, 0.094], [2.497, 1.168, 10.736]],
  "species": ["Ac", "Ac", "Ac", "Ac", "Sn", "Sn", "Sn", "Sn", "Pr", "Pr"],
  "frac_coords": [[0.488, 0.341, 0.683], [0.684, 0.725, 0.906], [0.316, 0.275, 0.094], [0.512, 0.659, 0.317], [0.974, 0.161, 0.891], [0.124, 0.321, 0.430], [0.026, 0.839, 0.109], [0.876, 0.679, 0.570], [0.217, 0.929, 0.638], [0.783, 0.071, 0.362]],
  "ef_ev_per_atom": -0.6122,
  "spacegroup": "C2/m (12)",
  "e_tot_ev_per_cell": -48.1
}


# 2
{
  "formula": "TbYMg2Au4",
  "functional": "PBE",
  "state": "optimized geometry",
  "cell": [[-2.707, 3.463, -2.239], [-4.203, 1.558, 2.058], [1.715, 7.345, 3.853]],
  "species": ["Mg", "Mg", "Au", "Au", "Au", "Au", "Y", "Tb"],
  "frac_coords": [[0.750, 0.750, 0.749], [0.250, 0.250, 0.251], [0.874, 0.874, 0.377], [0.374, 0.374, 0.878], [0.126, 0.126, 0.623], [0.626, 0.626, 0.122], [0.500, 0.500, 0.500], [0.000, 0.000, 0.000]],
  "ef_ev_per_atom": -0.7797,
  "spacegroup": "R-3m (166)",
  "e_tot_ev_per_cell": -33.6
}


# 3
{
  "formula": "Be2InHg",
  "functional": "PBE",
  "state": "optimized geometry",
  "cell": [[-4.194, -1.720, 0.962], [-2.413, -2.198, -3.290], [-0.621, -4.585, 0.255]],
  "species": ["Hg", "Be", "Be", "In"],
  "frac_coords": [[0.500, 0.500, 0.500], [0.000, 0.000, 0.000], [0.250, 0.250, 0.250], [0.750, 0.750, 0.750]],
  "ef_ev_per_atom": 0.7956,
  "spacegroup": "F-43m (216)",
  "e_tot_ev_per_cell": -7.3
}


# 4
{
  "formula": "NdAs3PtRh2",
  "functional": "PBE",
  "state": "optimized geometry",
  "cell": [[-5.228, 2.335, -5.362], [-7.422, 2.015, 1.543], [-2.895, 7.267, -0.583]],
  "species": ["Pt", "Pt", "As", "As", "As", "As", "As", "As", "Rh", "Rh", "Rh", "Rh", "Nd", "Nd"],
  "frac_coords": [[0.594, 0.594, 0.594], [0.406, 0.406, 0.406], [0.232, 0.804, 0.232], [0.804, 0.232, 0.232], [0.768, 0.768, 0.196], [0.768, 0.196, 0.768], [0.196, 0.768, 0.768], [0.232, 0.232, 0.804], [0.000, 0.000, 0.500], [0.000, 0.000, 0.000], [0.000, 0.500, 0.000], [0.500, 0.000, 0.000], [0.264, 0.264, 0.264], [0.736, 0.736, 0.736]],
  "ef_ev_per_atom": -0.4819,
  "spacegroup": "R-3m (166)",
  "e_tot_ev_per_cell": -85.7
}